Record 1
Compound: CrAgPt2
Source: the Alexandria database
Functional: GGA-PBE
Structure: optimized geometry

```
CrAgPt2
1.0
-2.403 0.351 -1.327
-1.321 -1.318 2.044
-1.065 6.876 3.745
Cr Pt Ag
1 2 1
Cartesian
-2.660 4.674 3.168
-0.564 3.640 1.983
-1.033 6.674 3.635
-2.128 1.236 1.295
```

## Properties
DFT formation energy	-0.1387	eV/atom
calculated total energy	-0.2307	Ha/atom
relative energy among the computed polymorphs	0.0	meV/atom

=====

Record 2
Compound: CrAgPt
Source: the Alexandria database
Functional: GGA-PBE
Structure: optimized geometry

```
CrAgPt
1.0
6.265 -0.011 0.011
5.662 2.682 0.020
0.603 0.127 2.690
Cr Pt Ag
1 1 1
Cartesian
4.261 0.949 1.831
8.332 1.864 0.876
11.864 2.657 0.046
```

## Properties
DFT formation energy	0.1605	eV/atom
calculated total energy	-0.2209	Ha/atom
relative energy among the computed polymorphs	53.2	meV/atom

=====

Record 3
Compound: Cr2AgPt
Source: the Alexandria database
Functional: GGA-PBE
Structure: optimized geometry

```
Cr2AgPt
1.0
-1.853 -3.801 -1.389
2.560 -3.267 -1.606
0.568 -3.740 2.345
Pt Cr Ag
1 2 1
Cartesian
0.319 -2.702 -0.162
0.956 -8.106 -0.487
0.000 0.000 0.000
0.637 -5.404 -0.325
```

## Properties
DFT formation energy	0.1996	eV/atom
calculated total energy	-0.2512	Ha/atom

=====

Record 4
Compound: CrAgPt2
Source: the Alexandria database
Functional: GGA-PBE
Structure: optimized geometry

```
CrAgPt2
1.0
7.135 0.000 0.000
0.000 7.135 0.000
3.567 3.567 2.702
Cr Ag Pt
2 2 4
Cartesian
3.567 3.567 0.000
3.567 7.135 1.351
7.135 3.567 1.351
0.000 0.000 0.000
5.143 1.784 0.676
1.992 5.351 0.676
8.918 8.710 2.027
5.351 5.559 2.027
```

## Properties
DFT formation energy	0.2778	eV/atom
calculated total energy	-0.2154	Ha/atom
relative energy among the computed polymorphs	416.5	meV/atom

=====

Record 5
Compound: CrAgPt2
Source: the Alexandria database
Functional: GGA-PBE
Structure: optimized geometry

```
CrAgPt2
1.0
4.820 -0.038 0.074
3.990 2.704 0.074
0.931 0.282 4.805
Pt Cr Ag
2 1 1
Cartesian
4.793 1.451 2.526
1.009 0.305 4.756
7.305 2.211 3.715
2.435 0.737 1.238
```

## Properties
DFT formation energy	0.0187	eV/atom
calculated total energy	-0.2249	Ha/atom
relative energy among the computed polymorphs	157.4	meV/atom

=====

Record 6
Compound: Cr2AgPt
Source: the Alexandria database
Functional: GGA-PBE
Structure: optimized geometry

```
Cr2AgPt
1.0
9.207 0.001 0.001
8.810 2.675 0.001
8.810 1.308 2.333
Cr Pt Ag
2 1 1
Cartesian
26.732 3.970 2.326
13.508 2.006 1.175
6.707 0.996 0.583
20.120 2.988 1.750
```

## Properties
DFT formation energy	0.3949	eV/atom
calculated total energy	-0.2440	Ha/atom

=====

Record 7
Compound: CrAgPt2
Source: the Alexandria database
Functional: GGA-PBE
Structure: optimized geometry

```
CrAgPt2
1.0
-3.801 -1.663 -1.731
-0.022 -4.094 -1.857
-2.113 -3.391 2.060
Pt Ag Cr
2 1 1
Cartesian
0.000 0.000 0.000
-1.484 -2.287 -0.382
-2.968 -4.574 -0.764
-4.452 -6.861 -1.146
```

## Properties
DFT formation energy	0.1134	eV/atom
calculated total energy	-0.2214	Ha/atom
relative energy among the computed polymorphs	252.0	meV/atom

=====

Record 8
Compound: Cr2AgPt
Source: the Alexandria database
Functional: GGA-PBE
Structure: optimized geometry

```
Cr2AgPt
1.0
2.642 0.013 0.000
-0.013 2.642 0.000
0.000 0.000 8.129
Cr Ag Pt
2 1 1
Cartesian
0.000 0.000 0.086
0.000 0.000 3.978
1.314 1.327 6.097
1.314 1.327 2.032
```

## Properties
DFT formation energy	0.3334	eV/atom
calculated total energy	-0.2463	Ha/atom